This record from the Alexandria database describes a relaxed structure of Li3SI. The functional is PBEsol.

Properties
For the total DFT energy (no corrections), the calculation gives -14.79 eV per cell. The calculation puts the volume at 24.4 A^3/atom. Its spin magnetization is 0.00 μB per formula unit.

Lattice parameters (Å, degrees): 4.9587 4.9587 4.9587 90.00 90.00 90.00
Last column: nearest neighbours and their distance in Å.
Space group Pm-3m (No. 221)
Inequivalent atoms, fractional coordinates:
Li 0.0000 0.0000 0.5000 (multiplicity 3)  2 I 2.48
S 0.5000 0.5000 0.5000 (multiplicity 1)  12 Li 3.51
I 0.0000 0.0000 0.0000 (multiplicity 1)  6 Li 2.48

This record from the Alexandria database describes a relaxed structure of SrLiSbI2. The functional is PBEsol.

Properties
For the total DFT energy (no corrections), the calculation gives -15.22 eV per cell. The calculation puts the volume at 30.8 A^3/atom. Its spin magnetization is 0.00 μB per formula unit.

Lattice parameters (Å, degrees): 5.3617 5.3617 5.3592 90.00 90.00 90.00
Last column: nearest neighbours and their distance in Å.
Space group P4/mmm (No. 123)
Inequivalent atoms, fractional coordinates:
Sr 0.0000 0.0000 0.0000 (multiplicity 1)  8 I 3.79, 4 Sb 3.79
Li 0.5000 0.5000 0.5000 (multiplicity 1)  2 Sb 2.68, 4 I 2.68
Sb 0.5000 0.5000 0.0000 (multiplicity 1)  2 Li 2.68
I 0.0000 0.5000 0.5000 (multiplicity 2)  2 Li 2.68

This record from the Alexandria database describes a relaxed structure of LiTcSb2I. The functional is PBEsol.

Properties
For the total DFT energy (no corrections), the calculation gives -22.85 eV per cell. The calculation puts the volume at 30.4 A^3/atom. Its spin magnetization is 0.06 μB per formula unit.

Lattice parameters (Å, degrees): 5.0102 5.0102 6.0582 90.00 90.00 90.00
Last column: nearest neighbours and their distance in Å.
Space group P4/mmm (No. 123)
Inequivalent atoms, fractional coordinates:
Li 0.0000 0.0000 0.0000 (multiplicity 1)  4 I 3.54, 8 Sb 3.93
Tc 0.5000 0.5000 0.5000 (multiplicity 1)  4 Sb 2.51
Sb 0.0000 0.5000 0.5000 (multiplicity 2)  2 Tc 2.51
I 0.5000 0.5000 0.0000 (multiplicity 1)  2 Tc 3.03

This record from the Alexandria database describes a relaxed structure of LiTcSbI2. The functional is PBEsol.

Properties
For the total DFT energy (no corrections), the calculation gives -20.11 eV per cell. The calculation puts the volume at 31.7 A^3/atom. Its spin magnetization is 1.13 μB per formula unit.

Lattice parameters (Å, degrees): 5.6419 5.6419 4.9835 90.00 90.00 90.00
Last column: nearest neighbours and their distance in Å.
Space group P4/mmm (No. 123)
Inequivalent atoms, fractional coordinates:
Li 0.0000 0.0000 0.0000 (multiplicity 1)  8 I 3.76, 4 Sb 3.99
Tc 0.5000 0.5000 0.5000 (multiplicity 1)  2 Sb 2.49
Sb 0.5000 0.5000 0.0000 (multiplicity 1)  2 Tc 2.49
I 0.0000 0.5000 0.5000 (multiplicity 2)  2 Tc 2.82

This record from the Alexandria database describes a relaxed structure of LiTcSbI2. The functional is PBEsol.

Properties
For the total DFT energy (no corrections), the calculation gives -16.67 eV per cell. The calculation puts the volume at 27.2 A^3/atom. Its spin magnetization is 4.16 μB per formula unit.

Lattice parameters (Å, degrees): 5.1111 5.1111 5.2031 90.00 90.00 90.00
Last column: nearest neighbours and their distance in Å.
Space group P4/mmm (No. 123)
Inequivalent atoms, fractional coordinates:
Li 0.0000 0.0000 0.0000 (multiplicity 1)  4 I 2.56, 2 Sb 2.60
Tc 0.5000 0.5000 0.5000 (multiplicity 1)  4 Sb 3.61, 8 I 3.65
Sb 0.0000 0.0000 0.5000 (multiplicity 1)  2 Li 2.60
I 0.0000 0.5000 0.0000 (multiplicity 2)  2 Li 2.56

This record from the Alexandria database describes a relaxed structure of Li3SiI. The functional is PBEsol.

Properties
For the total DFT energy (no corrections), the calculation gives -13.61 eV per cell. The calculation puts the volume at 24.8 A^3/atom. Its spin magnetization is 2.01 μB per formula unit.

Lattice parameters (Å, degrees): 4.9885 4.9885 4.9885 90.00 90.00 90.00
Last column: nearest neighbours and their distance in Å.
Space group Pm-3m (No. 221)
Inequivalent atoms, fractional coordinates:
Li 0.0000 0.0000 0.5000 (multiplicity 3)  2 Si 2.49
Si 0.0000 0.0000 0.0000 (multiplicity 1)  6 Li 2.49
I 0.5000 0.5000 0.5000 (multiplicity 1)  12 Li 3.53

This record from the Alexandria database describes a relaxed structure of Li3SnI. The functional is PBEsol.

Properties
For the total DFT energy (no corrections), the calculation gives -13.03 eV per cell. The calculation puts the volume at 26.7 A^3/atom. Its spin magnetization is 0.00 μB per formula unit.

Lattice parameters (Å, degrees): 5.1112 5.1112 5.1112 90.00 90.00 90.00
Last column: nearest neighbours and their distance in Å.
Space group Pm-3m (No. 221)
Inequivalent atoms, fractional coordinates:
Li 0.0000 0.0000 0.5000 (multiplicity 3)  2 I 2.56
Sn 0.5000 0.5000 0.5000 (multiplicity 1)  12 Li 3.61
I 0.0000 0.0000 0.0000 (multiplicity 1)  6 Li 2.56

This record from the Alexandria database describes a relaxed structure of Li2SnI. The functional is PBEsol.

Properties
For the total DFT energy (no corrections), the calculation gives -45.90 eV per cell. The calculation puts the volume at 24.6 A^3/atom. Its spin magnetization is 0.00 μB per formula unit.

Lattice parameters (Å, degrees): 7.6255 7.6255 6.7565 90.00 90.00 90.00
Last column: nearest neighbours and their distance in Å.
Space group I-42d (No. 122)
Inequivalent atoms, fractional coordinates:
Li 0.2318 0.7500 0.1250 (multiplicity 8)  2 I 2.73, 2 Sn 2.92
Sn 0.0000 0.0000 0.5000 (multiplicity 4)  4 Li 2.92
I 0.0000 0.0000 0.0000 (multiplicity 4)  4 Li 2.73

This record from the Alexandria database describes a relaxed structure of LiSnI3. The functional is PBEsol.

Properties
For the total DFT energy (no corrections), the calculation gives -13.50 eV per cell. The calculation puts the volume at 30.9 A^3/atom. Its spin magnetization is 0.00 μB per formula unit.

Lattice parameters (Å, degrees): 5.3659 5.3659 5.3659 90.00 90.00 90.00
Last column: nearest neighbours and their distance in Å.
Space group Pm-3m (No. 221)
Inequivalent atoms, fractional coordinates:
Li 0.0000 0.0000 0.0000 (multiplicity 1)  6 I 2.68
Sn 0.5000 0.5000 0.5000 (multiplicity 1)  12 I 3.79
I 0.0000 0.0000 0.5000 (multiplicity 3)  2 Li 2.68

This record from the Alexandria database describes a relaxed structure of Li2SnI2. The functional is PBEsol.

Properties
For the total DFT energy (no corrections), the calculation gives -28.16 eV per cell. The calculation puts the volume at 25.4 A^3/atom. Its spin magnetization is 0.00 μB per formula unit.

Lattice parameters (Å, degrees): 8.2165 8.2165 3.7592 90.00 90.00 90.00
Last column: nearest neighbours and their distance in Å.
Space group P4/mbm (No. 127)
Inequivalent atoms, fractional coordinates:
Li 0.1440 0.3560 0.0000 (multiplicity 4)  6 I 2.91-3.17, 2 Sn 3.16
Sn 0.0000 0.0000 0.0000 (multiplicity 2)  4 Li 3.16
I 0.1653 0.6653 0.5000 (multiplicity 4)  6 Li 2.91-3.17

This record from the Alexandria database describes a relaxed structure of Li2SnI2. The functional is PBEsol.

Properties
For the total DFT energy (no corrections), the calculation gives -26.84 eV per cell. The calculation puts the volume at 28.2 A^3/atom. Its spin magnetization is 0.00 μB per formula unit.

Lattice parameters (Å, degrees): 5.5953 5.5953 9.0007 90.00 90.00 90.00
Last column: nearest neighbours and their distance in Å.
Space group I4/mmm (No. 139)
Inequivalent atoms, fractional coordinates:
Li 0.0000 0.0000 0.1779 (multiplicity 4)  4 I 2.87, 1 Sn 2.90, 1 Li 3.20
Sn 0.0000 0.0000 0.5000 (multiplicity 2)  2 Li 2.90
I 0.0000 0.5000 0.2500 (multiplicity 4)  4 Li 2.87

This record from the Alexandria database describes a relaxed structure of SrLi2I2. The functional is PBEsol.

Properties
For the total DFT energy (no corrections), the calculation gives -26.08 eV per cell. The calculation puts the volume at 26.7 A^3/atom. Its spin magnetization is 0.00 μB per formula unit.

Lattice parameters (Å, degrees): 4.1920 4.1920 15.1727 90.00 90.00 90.00
Last column: nearest neighbours and their distance in Å.
Space group I4/mmm (No. 139)
Inequivalent atoms, fractional coordinates:
Sr 0.0000 0.0000 0.0000 (multiplicity 2)  8 I 3.46
Li 0.0000 0.5000 0.2500 (multiplicity 4)  4 I 2.90, 4 Li 2.96
I 0.0000 0.0000 0.3820 (multiplicity 4)  4 Li 2.90